RbTl3Hg3 PBE-GGA optimized geometry; calculated formation energy = -0.069 eV per atom; final energy = -1.3503 eV per atom; size of the total moment = 0.0 Bohr magnetons per cell; space group = R-3, No. 148
1.0
4.3850 2.5317 7.0483
-4.3850 2.5317 7.0483
0.0000 -5.0634 7.0483
Rb Tl Hg
2 6 6
Direct
0.1347 0.1347 0.1347 Rb
0.8653 0.8653 0.8653 Rb
0.0988 0.5463 0.2418 Tl
0.2418 0.0988 0.5463 Tl
0.4537 0.7582 0.9012 Tl
0.5463 0.2418 0.0988 Tl
0.7582 0.9012 0.4537 Tl
0.9012 0.4537 0.7582 Tl
0.2214 0.6541 0.4462 Hg
0.3459 0.5538 0.7786 Hg
0.4462 0.2214 0.6541 Hg
0.5538 0.7786 0.3459 Hg
0.6541 0.4462 0.2214 Hg
0.7786 0.3459 0.5538 Hg